(1)
Density functional theory data (GGA-PBE) for a relaxed ZnCuTe2Se crystal.

Space-group type: P4/mmm (123)
Spin magnetization: 0.00 μB per formula unit
Formation energy (no corrections): 0.466 eV/atom
DOS at the Fermi energy: 2.895 states/eV/cell

Lattice parameters (Å, degrees): 5.647 4.457 5.647 90.00 90.00 90.00
Fractional coordinates of all 5 atoms:
Te 0.000 0.000 0.500
Zn 0.500 0.500 0.500
Se 0.000 0.000 0.000
Te 0.500 0.000 0.000
Cu 0.000 0.500 0.000

=====

(2)
Density functional theory data (GGA-PBE) for a relaxed PuGe2Pd crystal.

Space-group type: Fm-3m (225)
Spin magnetization: 5.61 μB per formula unit
Formation enthalpy at 0 K: -362 meV per atom
DOS at the Fermi energy: 9.798 states/eV/cell

Lattice parameters (Å, degrees): 4.752 4.752 4.752 60.00 60.00 60.00
Each line ends with the local moment (μB).
Fractional coordinates of all 4 atoms:
Ge 0.250 0.250 0.250  0.03
Pu 0.000 0.000 0.000  5.22
Pd 0.500 0.500 0.500  0.17
Ge 0.750 0.750 0.750  0.03

=====

(3)
Density functional theory data (GGA-PBE) for a relaxed TcB3N crystal.

Energy above the most stable polymorph in this dataset: 0.7842 eV per atom
Space-group type: Pm-3m (221)
Spin magnetization: 2.69 μB per formula unit
Formation energy (no corrections): 2.164 eV/atom
DOS at the Fermi energy: 1.192 states/eV/cell

Lattice parameters (Å, degrees): 4.108 4.108 4.108 90.00 90.00 90.00
Each line ends with the local moment (μB).
Fractional coordinates of all 5 atoms:
B 0.500 0.000 0.000  0.02
Tc 0.000 0.000 0.000  0.36
B 0.000 0.000 0.500  -0.04
N 0.500 0.500 0.500  1.70
B 0.000 0.500 0.000  -0.01